The following is a PBE+U calculation of VTeN2O after structural relaxation, from the Alexandria database.

space-group type = No. 123
density of states at the Fermi level = 3.1 states/eV per cell
density = 5.8 g/cm3
DFT total energy = -28.01 eV per cell
total magnetization = 2.59 μB per formula unit

```
data_VTeN2O
_space_group_name_H-M_alt 'P 1'
_space_group_IT_number 1
_space_group_name_Hall 'P 1'
_cell_length_a 4.034
_cell_length_b 4.034
_cell_length_c 3.885
_cell_angle_alpha 90.00
_cell_angle_beta 90.00
_cell_angle_gamma 90.00
loop_
_atom_site_label
_atom_site_type_symbol
_atom_site_fract_x
_atom_site_fract_y
_atom_site_fract_z
_atom_site_occupancy
V1 V 0.000 0.000 0.000 1
Te1 Te 0.500 0.500 0.500 1
N1 N 0.000 0.500 0.500 1
N2 N 0.500 0.000 0.500 1
O1 O 0.500 0.500 0.000 1
```